A relaxed structure of Pm4Sm3YTe8. Source: Alexandria, functional PBE-GGA.

Cell: 8.901 8.901 8.901 Å, 59.91 59.91 59.91°
Fractional positions:
1 Pm 0.000 0.000 0.000
2 Pm 0.000 0.500 0.500
3 Pm 0.500 0.000 0.500
4 Pm 0.500 0.500 0.000
5 Sm 0.000 0.000 0.500
6 Sm 0.000 0.500 0.000
7 Sm 0.500 0.000 0.000
8 Y 0.500 0.500 0.500
9 Te 0.249 0.249 0.249
10 Te 0.252 0.747 0.747
11 Te 0.253 0.253 0.748
12 Te 0.253 0.748 0.253
13 Te 0.747 0.252 0.747
14 Te 0.747 0.747 0.252
15 Te 0.748 0.253 0.253
16 Te 0.751 0.751 0.751

Calculated values
**Uncorrected energy**: -86.9 eV for the cell shown
**SG**: R-3m
**E_form (uncorrected)**: -31.87 kcal/mol of atoms